First-principles (GGA-PBE) data for a relaxed structure of Sm6Y2Tm, as listed in Alexandria via LeMat-Bulk.

Its formation energy is 0.158 eV per atom. Its energy relative to the lowest polymorph listed for this composition is 29.4 meV per atom.

The structure belongs to space group Immm (No. 71); the cell edges are 5.6439, 7.0055 and 15.4256 Å and the angles 90.00°, 90.00° and 90.00°. The asymmetric unit holds Sm at (0.0000, 0.0000, 0.2128), Sm at (0.0000, 0.2706, 0.3893), Y at (0.0000, 0.5000, 0.1372) and Tm at (0.0000, 0.0000, 0.0000).


First-principles (GGA-PBE) data for a relaxed structure of LiZnSe2, as listed in Alexandria via LeMat-Bulk.

Its uncorrected formation energy is -49.3 kJ/mol of atoms. Its energy relative to the lowest polymorph listed for this composition is 93.3 meV per atom.

The structure belongs to space group P2/m (No. 10); the cell edges are 4.3023, 3.6935 and 6.2965 Å and the angles 90.00°, 109.53° and 90.00°. The asymmetric unit holds Li at (0.0000, 0.0000, 0.0000), Zn at (0.5000, 0.0000, 0.5000) and Se at (0.4818, 0.5000, 0.2295).


First-principles (GGA-PBE) data for a relaxed structure of PrSiSn2, as listed in Alexandria via LeMat-Bulk.

Its uncorrected formation energy is -31.4 kJ/mol of atoms.

The structure belongs to space group P4/mmm (No. 123); the cell edges are 4.5293, 4.5293 and 4.8648 Å and the angles 90.00°, 90.00° and 90.00°. The asymmetric unit holds Pr at (0.0000, 0.0000, 0.0000), Si at (0.5000, 0.5000, 0.0000) and Sn at (0.0000, 0.5000, 0.5000).


First-principles (GGA-PBE) data for a relaxed structure of SrCu2Bi, as listed in Alexandria via LeMat-Bulk.

Its formation energy is -0.046 eV per atom.

The structure belongs to space group I4_1/amd (No. 141, origin choice 2); the cell edges are 4.9447, 4.9447 and 18.7526 Å and the angles 90.00°, 90.00° and 90.00°. The asymmetric unit holds Sr at (0.0000, 0.2500, 0.3750), Cu at (0.0000, 0.0000, 0.0000) and Bi at (0.0000, 0.2500, 0.8750).


First-principles (GGA-PBE) data for a relaxed structure of ThP2O6, as listed in Alexandria via LeMat-Bulk.

Its uncorrected formation energy is -250.3 kJ/mol of atoms.

The structure belongs to space group R3 (No. 146, hexagonal axes); the cell edges are 5.7918, 5.7918 and 18.4926 Å and the angles 90.00°, 90.00° and 120.00°. The asymmetric unit holds Th at (0.0000, 0.0000, 0.0000), P at (0.0000, 0.0000, 0.6085), P at (0.0000, 0.0000, 0.7248), O at (0.0341, 0.5109, 0.2550) and O at (0.0340, 0.5234, 0.4115).


First-principles (GGA-PBE) data for a relaxed structure of Zr7Rh3, as listed in Alexandria via LeMat-Bulk.

Its formation energy is -0.491 eV per atom.

The structure belongs to space group P6_3mc (No. 186); the cell edges are 9.1929, 9.1929 and 5.7419 Å and the angles 90.00°, 90.00° and 120.00°. The asymmetric unit holds Zr at (0.0766, 0.5383, 0.0000), Zr at (0.1307, 0.2614, 0.2866), Zr at (0.3333, 0.6667, 0.4603) and Rh at (0.1900, 0.3801, 0.7348).


| no. | magnetic moment (μB per formula unit) | E (eV/atom) | D(E_F) (states/eV/cell) |
| --- | --- | --- | --- |
| 1 | 0.0 | -4.921 | 31.01 |
| 2 | 0.0 | -3.050 | 1.09 |
| 3 | 0.0 | -4.877 | 1.67 |
| 4 | 0.0 | -3.485 | 4.24 |
| 5 | 0.0 | -7.926 | 0.00 |
| 6 | 0.0 | -8.680 | 18.59 |